# 1
The following is a PBE calculation of TbCS after structural relaxation, from Alexandria.

Cell lengths 3.968, 4.206, 9.413 Å; angles 91.31, 90.00, 118.15 degrees
Atoms (fractional coordinates):
1 S 0.170 0.340 0.690
2 S 0.830 0.660 0.310
3 Tb 0.154 0.308 0.185
4 Tb 0.846 0.692 0.815
5 C 0.421 0.843 0.025
6 C 0.579 0.157 0.975

Calculated values
- SG: C2/m (12)
- Energy above the lowest structure with this stoichiometry: 0.000 eV/f.u.
- Energy relative to the elements, uncorrected: -0.95 eV/atom



# 2
The following is a PBE calculation of Ga3SnS after structural relaxation, from Alexandria.

Cell lengths 4.901, 4.901, 4.901 Å; angles 90.00, 90.00, 90.00 degrees
Atoms (fractional coordinates):
1 S 0.000 0.000 0.000
2 Ga 0.000 0.500 0.000
3 Ga 0.000 0.000 0.500
4 Ga 0.500 0.000 0.000
5 Sn 0.500 0.500 0.500

Calculated values
- SG: Pm-3m (221)
- Energy above the lowest structure with this stoichiometry: 0.000 eV/f.u.
- Energy relative to the elements, uncorrected: 0.26 eV/atom



# 3
The following is a PBE calculation of P2Se3 after structural relaxation, from Alexandria.

Cell lengths 4.505, 4.505, 6.195 Å; angles 90.00, 90.00, 120.00 degrees
Atoms (fractional coordinates):
1 Se 0.333 0.667 0.333
2 Se 0.000 0.000 0.000
3 Se 0.667 0.333 0.667
4 P 0.667 0.333 0.273
5 P 0.333 0.667 0.727

Calculated values
- SG: P-3m1 (164)
- Energy above the lowest structure with this stoichiometry: 2.157 eV/f.u.
- Energy relative to the elements, uncorrected: 0.50 eV/atom



# 4
The following is a PBE calculation of LaCuHg after structural relaxation, from Alexandria.

Cell lengths 4.581, 6.102, 6.102 Å; angles 88.55, 67.95, 67.95 degrees
Atoms (fractional coordinates):
1 Hg 0.500 0.322 0.678
2 Hg 0.500 0.678 0.322
3 Cu 0.000 0.852 0.148
4 Cu 0.000 0.148 0.852
5 La 0.744 0.756 0.756
6 La 0.256 0.244 0.244

Calculated values
- Energy of formation: -332 meV/atom
- SG: Immm (71)



Looking at electronic total energy for the records above, in order, we have -41.7, -15.9, -18.8, -20.6 eV/cell.
Looking at total moment for the records above, in order, we have 0.0, 0.0, 0.0, 0.0 Bohr magnetons per cell.